No. 1
A relaxed structure of La2BeCl, computed with PBEsol.

abc: 3.679 3.690 14.999
angles: 90.00 90.00 90.00
Space group Imm2 (No. 44)
Unique sites:
La 0.000 0.000 0.000
La 0.000 0.500 0.242
Be 0.000 0.500 0.653
Cl 0.000 0.000 0.404

E_form (uncorrected): -0.5032 eV/atom
DOS at the Fermi energy: 7.029 states/eV/cell


No. 2
A relaxed structure of Sc2WAu, computed with PBEsol.

abc: 3.587 3.587 5.773
angles: 90.00 90.00 90.00
Space group P4mm (No. 99)
Unique sites:
Sc 0.000 0.000 0.000
Sc 0.500 0.500 0.307
W 0.000 0.000 0.507
Au 0.500 0.500 0.785

ΔE_f: 0.09 eV/atom
DOS at the Fermi energy: 3.426 states/eV/cell


No. 3
A relaxed structure of ZnCu2Au, computed with PBEsol.

abc: 3.745 3.798 7.470
angles: 90.00 90.00 90.00
Space group Imm2 (No. 44)
Unique sites:
Zn 0.000 0.000 0.000
Cu 0.000 0.000 0.502
Cu 0.000 0.500 0.251
Au 0.000 0.500 0.751

ΔE_f: -0.13 eV/atom
DOS at the Fermi energy: 2.300 states/eV/cell


No. 4
A relaxed structure of Y3HgC, computed with PBEsol.

abc: 4.839 4.839 4.839
angles: 90.00 90.00 90.00
Space group Pm-3m (No. 221)
Unique sites:
Y 0.000 0.000 0.500
Hg 0.500 0.500 0.500
C 0.000 0.000 0.000

ΔE_f: -0.46 eV/atom
DOS at the Fermi energy: 7.348 states/eV/cell


No. 5
A relaxed structure of CrSi3Rh, computed with PBEsol.

abc: 4.548 4.548 4.548
angles: 90.00 90.00 90.00
Space group Pm-3m (No. 221)
Unique sites:
Cr 0.000 0.000 0.000
Si 0.000 0.500 0.500
Rh 0.500 0.500 0.500

E_form (uncorrected): 0.7074 eV/atom
DOS at the Fermi energy: 2.862 states/eV/cell


No. 6
A relaxed structure of BaFe2P4O14, computed with PBEsol.

abc: 6.027 6.072 7.706
angles: 96.41 102.56 104.26
Space group P-1 (No. 2)
Unique sites:
Ba 0.000 0.000 0.000
Fe 0.375 0.691 0.226
P 0.179 0.461 0.805
P 0.488 0.248 0.339
O 0.076 0.689 0.270
O 0.217 0.643 0.972
O 0.245 0.606 0.652
O 0.318 0.372 0.234
O 0.332 0.294 0.835
O 0.430 0.015 0.217
O 0.467 0.237 0.529

E_form (uncorrected): -2.0630 eV/atom
DOS at the Fermi energy: 14.951 states/eV/cell


No. 7
A relaxed structure of FeTcSe2N, computed with PBEsol.

abc: 4.946 4.946 3.629
angles: 90.00 90.00 90.00
Space group P4/mmm (No. 123)
Unique sites:
Fe 0.000 0.000 0.000
Tc 0.500 0.500 0.500
Se 0.000 0.500 0.500
N 0.500 0.500 0.000

E_form (uncorrected): 0.5740 eV/atom
DOS at the Fermi energy: 6.653 states/eV/cell


No. 8
A relaxed structure of CdHgBi2Ir, computed with PBEsol.

abc: 5.441 5.441 4.964
angles: 90.00 90.00 90.00
Space group P4/mmm (No. 123)
Unique sites:
Cd 0.000 0.000 0.000
Hg 0.500 0.500 0.500
Bi 0.000 0.500 0.000
Ir 0.000 0.000 0.500

ΔE_f: 1.20 eV/atom
DOS at the Fermi energy: 4.402 states/eV/cell


No. 9
A relaxed structure of Hg2IN, computed with PBEsol.

abc: 9.488 9.488 9.488
angles: 90.00 90.00 90.00
Space group Fd-3m (No. 227, origin choice 2)
Unique sites:
Hg 0.000 0.000 0.000
I 0.125 0.125 0.625
N 0.125 0.125 0.125

E_form (uncorrected): 0.3081 eV/atom
DOS at the Fermi energy: 1.785 states/eV/cell


No. 10
A relaxed structure of VMoO5, computed with PBEsol.

abc: 9.354 3.719 6.335
angles: 90.00 131.66 90.00
Space group Cm (No. 8)
Unique sites:
V 0.000 0.000 0.000
Mo 0.131 0.000 0.679
O 0.058 0.000 0.332
O 0.194 0.500 0.739
O 0.212 0.000 0.092
O 0.413 0.500 0.596
O 0.429 0.000 0.935

E_form (uncorrected): -2.1065 eV/atom
DOS at the Fermi energy: 2.257 states/eV/cell


No. 11
A relaxed structure of TlCdPb2, computed with PBEsol.

abc: 3.646 5.657 10.662
angles: 90.00 90.00 90.00
Space group Cmmm (No. 65)
Unique sites:
Tl 0.000 0.000 0.000
Cd 0.000 0.000 0.500
Pb 0.000 0.500 0.264

ΔE_f: 0.06 eV/atom
DOS at the Fermi energy: 3.583 states/eV/cell


No. 12
A relaxed structure of MgTaIr2, computed with PBEsol.

abc: 5.995 6.887 2.965
angles: 90.00 90.00 90.00
Space group Cmmm (No. 65)
Unique sites:
Mg 0.000 0.000 0.000
Ta 0.000 0.500 0.000
Ir 0.250 0.250 0.500

ΔE_f: -0.48 eV/atom
DOS at the Fermi energy: 3.908 states/eV/cell